First-principles (PBE) data for crystalline Ho2TlRuC at its relaxed geometry, as listed in Alexandria via LeMat-Bulk. Values from VASP.

Geometry as Quantum ESPRESSO input:
```
&SYSTEM
  ibrav = 0, nat = 5, ntyp = 4
/
ATOMIC_SPECIES
Ho 164.93 Ho.upf
Tl 204.38 Tl.upf
Ru 101.07 Ru.upf
C 12.01 C.upf
CELL_PARAMETERS angstrom
3.956 0.000 0.000
0.000 5.016 0.000
0.000 0.000 5.016
ATOMIC_POSITIONS angstrom
Ho 0.000 0.000 2.508
Ho 0.000 2.508 0.000
Tl 1.978 2.508 2.508
Ru 1.978 0.000 0.000
C 0.000 0.000 0.000
```

Summary:
Space group: P4/mmm
E_tot in eV per atom: -6.37
DFT formation energy in kJ/mol of atoms: -35.7

---

First-principles (PBE) data for crystalline Ho4C2S at its relaxed geometry, as listed in Alexandria via LeMat-Bulk. Values from VASP.

Geometry as Quantum ESPRESSO input:
```
&SYSTEM
  ibrav = 0, nat = 14, ntyp = 3
/
ATOMIC_SPECIES
S 32.06 S.upf
C 12.01 C.upf
Ho 164.93 Ho.upf
CELL_PARAMETERS angstrom
3.665 0.000 0.000
-1.832 6.039 0.000
0.000 0.000 12.179
ATOMIC_POSITIONS angstrom
S 1.832 1.294 9.134
S 0.000 4.745 3.045
C 0.000 1.650 5.344
C 1.832 4.389 11.433
C 0.000 1.650 0.746
C 1.832 4.389 6.836
Ho 1.832 3.181 1.340
Ho 1.832 3.181 4.750
Ho 0.000 2.858 10.839
Ho 0.000 2.858 7.430
Ho 1.832 5.278 9.134
Ho 0.000 0.761 3.045
Ho 1.832 0.000 0.000
Ho 1.832 0.000 6.090
```

Summary:
Space group: Cmcm
E_tot in eV per atom: -6.62
Energy relative to the elements, uncorrected in eV/atom: -0.78

---

First-principles (PBE) data for crystalline Ho6CS3 at its relaxed geometry, as listed in Alexandria via LeMat-Bulk. Values from VASP.

Geometry as Quantum ESPRESSO input:
```
&SYSTEM
  ibrav = 0, nat = 20, ntyp = 3
/
ATOMIC_SPECIES
Ho 164.93 Ho.upf
C 12.01 C.upf
S 32.06 S.upf
CELL_PARAMETERS angstrom
6.331 0.000 -0.270
0.000 7.143 0.000
-0.466 0.000 9.704
ATOMIC_POSITIONS angstrom
Ho 3.842 1.217 8.732
Ho 3.926 1.456 5.286
Ho 4.055 3.402 2.463
Ho 1.810 3.741 6.971
Ho 1.939 5.687 4.149
Ho 2.023 5.926 0.703
Ho 0.910 2.354 4.014
Ho 0.994 2.116 0.568
Ho 0.656 0.170 7.450
Ho 5.209 6.973 1.984
Ho 4.871 5.027 8.866
Ho 4.955 4.789 5.421
C 2.932 3.571 4.717
C 0.000 0.000 0.000
S 3.143 6.262 6.760
S 3.166 3.571 -0.135
S 2.722 0.881 2.675
S 0.210 4.452 2.043
S -0.233 0.000 4.852
S 5.655 2.691 7.392
```

Summary:
Space group: P2_1/c
E_tot in eV per atom: -6.08
Energy relative to the elements, uncorrected in eV/atom: -1.17

---

First-principles (PBE) data for crystalline Ho6C2S at its relaxed geometry, as listed in Alexandria via LeMat-Bulk. Values from VASP.

Geometry as Quantum ESPRESSO input:
```
&SYSTEM
  ibrav = 0, nat = 9, ntyp = 3
/
ATOMIC_SPECIES
Ho 164.93 Ho.upf
C 12.01 C.upf
S 32.06 S.upf
CELL_PARAMETERS angstrom
-0.265 0.641 -3.577
-7.499 -0.170 0.525
1.861 7.308 3.027
ATOMIC_POSITIONS angstrom
Ho -5.493 4.822 1.270
Ho -1.958 0.112 0.165
Ho -3.773 2.819 -1.072
Ho -3.944 7.667 -0.191
Ho -0.410 2.957 -1.296
Ho -2.130 4.960 1.046
C -3.964 5.276 -0.617
C -1.939 2.502 0.592
S -0.132 0.320 -1.789
```

Summary:
Space group: C2/m
E_tot in eV per atom: -6.20
Energy relative to the elements, uncorrected in eV/atom: -0.64

---

First-principles (PBE) data for crystalline Ho4CS3 at its relaxed geometry, as listed in Alexandria via LeMat-Bulk. Values from VASP.

Geometry as Quantum ESPRESSO input:
```
&SYSTEM
  ibrav = 0, nat = 8, ntyp = 3
/
ATOMIC_SPECIES
S 32.06 S.upf
C 12.01 C.upf
Ho 164.93 Ho.upf
CELL_PARAMETERS angstrom
-2.089 3.002 0.940
-5.533 -3.650 -0.640
2.170 -0.456 6.279
ATOMIC_POSITIONS angstrom
S 1.085 -0.228 3.139
S -2.726 -0.552 3.290
S -2.766 -1.825 -0.320
C -1.045 1.501 0.470
Ho -0.736 -0.899 1.235
Ho -4.801 -1.412 1.426
Ho -2.626 -3.207 4.404
Ho -0.650 0.309 5.154
```

Summary:
Space group: Cmmm
E_tot in eV per atom: -6.67
Energy relative to the elements, uncorrected in eV/atom: -1.68
Polymorph energy (0 for the lowest one) in meV per atom: 0

---

First-principles (PBE) data for crystalline Ho2CS at its relaxed geometry, as listed in Alexandria via LeMat-Bulk. Values from VASP.

Geometry as Quantum ESPRESSO input:
```
&SYSTEM
  ibrav = 0, nat = 4, ntyp = 3
/
ATOMIC_SPECIES
C 12.01 C.upf
S 32.06 S.upf
Ho 164.93 Ho.upf
CELL_PARAMETERS angstrom
3.697 0.000 0.000
1.848 3.201 0.000
1.848 1.067 6.320
ATOMIC_POSITIONS angstrom
C 3.697 2.134 3.160
S 0.000 0.000 0.000
Ho 1.848 1.067 1.824
Ho 5.545 3.201 4.497
```

Summary:
Space group: R-3m
E_tot in eV per atom: -6.93
Energy relative to the elements, uncorrected in eV/atom: -1.30

---

First-principles (PBE) data for crystalline Ho6C2S3 at its relaxed geometry, as listed in Alexandria via LeMat-Bulk. Values from VASP.

Geometry as Quantum ESPRESSO input:
```
&SYSTEM
  ibrav = 0, nat = 11, ntyp = 3
/
ATOMIC_SPECIES
Ho 164.93 Ho.upf
C 12.01 C.upf
S 32.06 S.upf
CELL_PARAMETERS angstrom
-2.083 3.015 -0.548
-3.196 0.402 1.832
7.500 10.114 14.609
ATOMIC_POSITIONS angstrom
Ho 5.012 7.703 10.799
Ho -2.791 5.829 5.095
Ho 1.996 4.779 6.179
Ho 0.226 8.752 9.715
Ho 4.928 10.466 13.793
Ho -2.707 3.065 2.101
C 2.584 8.194 10.203
C -0.363 5.338 5.691
S 0.000 0.000 0.000
S -0.139 2.709 2.910
S 2.361 10.822 12.984
```

Summary:
Space group: R-3m
E_tot in eV per atom: -6.56
Energy relative to the elements, uncorrected in eV/atom: -1.26

---

First-principles (PBE) data for crystalline Ho2CS at its relaxed geometry, as listed in Alexandria via LeMat-Bulk. Values from VASP.

Geometry as Quantum ESPRESSO input:
```
&SYSTEM
  ibrav = 0, nat = 4, ntyp = 3
/
ATOMIC_SPECIES
Ho 164.93 Ho.upf
C 12.01 C.upf
S 32.06 S.upf
CELL_PARAMETERS angstrom
-1.090 -1.924 2.915
0.680 -3.590 0.181
5.537 -0.615 3.962
ATOMIC_POSITIONS angstrom
Ho 4.360 -0.869 3.354
Ho 1.036 -1.585 1.637
C 5.247 -4.295 6.017
S 2.585 -3.060 3.540
```

Summary:
Space group: R3m
E_tot in eV per atom: -6.85
Energy relative to the elements, uncorrected in eV/atom: -1.22

---

First-principles (PBE) data for crystalline Ho4CS3 at its relaxed geometry, as listed in Alexandria via LeMat-Bulk. Values from VASP.

Geometry as Quantum ESPRESSO input:
```
&SYSTEM
  ibrav = 0, nat = 8, ntyp = 3
/
ATOMIC_SPECIES
Ho 164.93 Ho.upf
C 12.01 C.upf
S 32.06 S.upf
CELL_PARAMETERS angstrom
5.396 0.000 0.000
0.000 5.396 0.000
0.000 0.000 5.396
ATOMIC_POSITIONS angstrom
Ho 2.698 0.000 0.000
Ho 0.000 2.698 0.000
Ho 0.000 0.000 2.698
Ho 2.698 2.698 2.698
C 0.000 0.000 0.000
S 0.000 2.698 2.698
S 2.698 0.000 2.698
S 2.698 2.698 0.000
```

Summary:
Space group: Pm-3m
E_tot in eV per atom: -6.55
Energy relative to the elements, uncorrected in eV/atom: -1.56
Polymorph energy (0 for the lowest one) in meV per atom: 116

---

First-principles (PBE) data for crystalline Ho6C3Se2S at its relaxed geometry, as listed in Alexandria via LeMat-Bulk. Values from VASP.

Geometry as Quantum ESPRESSO input:
```
&SYSTEM
  ibrav = 0, nat = 12, ntyp = 4
/
ATOMIC_SPECIES
Ho 164.93 Ho.upf
C 12.01 C.upf
Se 78.96 Se.upf
S 32.06 S.upf
CELL_PARAMETERS angstrom
3.732 0.000 0.000
0.000 7.777 0.059
-1.866 -2.474 8.050
ATOMIC_POSITIONS angstrom
Ho 0.000 5.734 5.285
Ho 1.866 3.976 2.532
Ho 1.866 -0.431 2.824
Ho 1.866 -0.319 7.906
Ho 0.000 5.622 0.203
Ho 0.000 1.328 5.577
C 1.866 3.889 0.029
C 1.866 -0.367 5.392
C 0.000 5.671 2.717
Se 1.866 3.536 5.402
Se 0.000 1.768 2.707
S 1.866 0.000 0.000
```

Summary:
Space group: C2/m
E_tot in eV per atom: -6.73
Energy relative to the elements, uncorrected in eV/atom: -1.21

---

First-principles (PBE) data for crystalline Ho6C2Se3S at its relaxed geometry, as listed in Alexandria via LeMat-Bulk. Values from VASP.

Geometry as Quantum ESPRESSO input:
```
&SYSTEM
  ibrav = 0, nat = 12, ntyp = 4
/
ATOMIC_SPECIES
Ho 164.93 Ho.upf
C 12.01 C.upf
Se 78.96 Se.upf
S 32.06 S.upf
CELL_PARAMETERS angstrom
3.799 0.000 0.000
0.000 7.935 0.160
-1.899 -2.410 8.197
ATOMIC_POSITIONS angstrom
Ho 0.000 5.347 5.550
Ho 1.899 3.567 3.006
Ho 1.899 0.177 2.807
Ho 0.000 1.919 0.375
Ho 1.899 3.605 7.981
Ho 0.000 1.957 5.351
C 1.899 3.688 5.543
C 0.000 1.836 2.814
Se 1.899 3.967 0.080
Se 1.899 -0.315 5.588
Se 0.000 5.839 2.769
S 1.899 0.000 0.000
```

Summary:
Space group: C2/m
E_tot in eV per atom: -6.49
Energy relative to the elements, uncorrected in eV/atom: -1.45

---

First-principles (PBE) data for crystalline Ho8CSe4S3 at its relaxed geometry, as listed in Alexandria via LeMat-Bulk. Values from VASP.

Geometry as Quantum ESPRESSO input:
```
&SYSTEM
  ibrav = 0, nat = 16, ntyp = 4
/
ATOMIC_SPECIES
Ho 164.93 Ho.upf
C 12.01 C.upf
Se 78.96 Se.upf
S 32.06 S.upf
CELL_PARAMETERS angstrom
7.815 0.000 0.000
0.000 7.969 0.102
-3.908 -3.903 5.529
ATOMIC_POSITIONS angstrom
Ho -2.104 1.827 5.538
Ho 0.000 3.928 2.561
Ho 0.000 0.171 2.882
Ho 2.104 1.827 5.538
Ho 1.804 2.239 0.094
Ho 3.908 3.895 2.749
Ho 3.908 0.138 3.070
Ho 6.011 2.239 0.094
C 0.000 3.984 0.051
Se 3.908 0.000 0.000
Se 1.954 -1.952 2.765
Se 0.000 0.000 0.000
Se -1.954 -1.952 2.765
S 3.908 3.984 0.051
S 1.954 2.033 2.816
S -1.954 2.033 2.816
```

Summary:
Space group: R-3m
E_tot in eV per atom: -6.23
Energy relative to the elements, uncorrected in eV/atom: -1.72